CuNiBi2Os | PBE | optimized geometry

Values from the calculation:
Spin magnetization   1.69 μB/f.u.
E_tot   -4.431 eV per atom
Formation energy from the elements   6.72 eV per formula unit

abc: 5.0247 5.0247 4.3099
angles: 90.00 90.00 90.00
Fractional coordinates of all 5 atoms:
Cu 0.0000 0.0000 0.0000
Ni 0.0000 0.0000 0.5000
Bi 0.0000 0.5000 0.0000
Bi 0.5000 0.0000 0.0000
Os 0.5000 0.5000 0.5000

***

CuNiBiP2 | PBE | optimized geometry

Values from the calculation:
Spin magnetization   0.00 μB/f.u.
E_tot   -4.262 eV per atom
Formation energy from the elements   3.27 eV per formula unit

abc: 4.5083 4.5083 4.5505
angles: 90.00 90.00 90.00
Fractional coordinates of all 5 atoms:
Cu 0.0000 0.0000 0.0000
Ni 0.0000 0.0000 0.5000
Bi 0.5000 0.5000 0.5000
P 0.0000 0.5000 0.0000
P 0.5000 0.0000 0.0000

***

PaCuNiBi | PBE | optimized geometry

Values from the calculation:
Spin magnetization   0.00 μB/f.u.
E_tot   -5.889 eV per atom
Formation energy from the elements   -0.30 eV per formula unit

abc: 4.7696 4.7696 4.7696
angles: 60.00 60.00 60.00
Fractional coordinates of all 4 atoms:
Pa 0.0000 0.0000 0.0000
Cu 0.2500 0.2500 0.2500
Ni 0.7500 0.7500 0.7500
Bi 0.5000 0.5000 0.5000

***

CuNiBiPd | PBE | optimized geometry

Values from the calculation:
Spin magnetization   0.00 μB/f.u.
E_tot   -4.696 eV per atom
Formation energy from the elements   0.17 eV per formula unit

abc: 4.5063 4.5063 4.5063
angles: 60.00 60.00 60.00
Fractional coordinates of all 4 atoms:
Cu 0.0000 0.0000 0.0000
Ni 0.2500 0.2500 0.2500
Bi 0.5000 0.5000 0.5000
Pd 0.7500 0.7500 0.7500

***

PmCuNiBi | PBE | optimized geometry

Values from the calculation:
Spin magnetization   0.00 μB/f.u.
E_tot   -4.858 eV per atom
Formation energy from the elements   -0.92 eV per formula unit

abc: 4.8251 4.8251 4.8251
angles: 60.00 60.00 60.00
Fractional coordinates of all 4 atoms:
Pm 0.0000 0.0000 0.0000
Cu 0.2500 0.2500 0.2500
Ni 0.7500 0.7500 0.7500
Bi 0.5000 0.5000 0.5000

***

CuNiBiRh | PBE | optimized geometry

Values from the calculation:
Spin magnetization   0.00 μB/f.u.
E_tot   -5.160 eV per atom
Formation energy from the elements   0.47 eV per formula unit

abc: 4.4520 4.4520 4.4520
angles: 60.00 60.00 60.00
Fractional coordinates of all 4 atoms:
Cu 0.0000 0.0000 0.0000
Ni 0.2500 0.2500 0.2500
Bi 0.5000 0.5000 0.5000
Rh 0.7500 0.7500 0.7500

***

YCuNiBi2 | PBE | optimized geometry

Values from the calculation:
Spin magnetization   0.37 μB/f.u.
E_tot   -4.297 eV per atom
Formation energy from the elements   2.62 eV per formula unit

abc: 5.1023 5.1023 5.1979
angles: 90.00 90.00 90.00
Fractional coordinates of all 5 atoms:
Y 0.0000 0.0000 0.0000
Cu 0.0000 0.0000 0.5000
Ni 0.5000 0.5000 0.0000
Bi 0.0000 0.5000 0.5000
Bi 0.5000 0.0000 0.5000

***

YCu2NiBi | PBE | optimized geometry

Values from the calculation:
Spin magnetization   0.00 μB/f.u.
E_tot   -3.859 eV per atom
Formation energy from the elements   5.02 eV per formula unit

abc: 5.0412 5.0412 4.7505
angles: 90.00 90.00 90.00
Fractional coordinates of all 5 atoms:
Y 0.0000 0.0000 0.0000
Cu 0.0000 0.5000 0.0000
Cu 0.5000 0.0000 0.0000
Ni 0.0000 0.0000 0.5000
Bi 0.5000 0.5000 0.5000

***

NpCuBi | PBE | optimized geometry

Values from the calculation:
Spin magnetization   4.36 μB/f.u.
E_tot   -6.659 eV per atom
Formation energy from the elements   0.94 eV per formula unit

abc: 9.0658 8.5411 6.3658
angles: 73.28 64.46 42.26
Fractional coordinates of all 12 atoms:
Np 0.0529 0.0529 0.6971
Np 0.3029 0.3029 0.9471
Np 0.6971 0.6971 0.0529
Np 0.9471 0.9471 0.3029
Cu 0.0242 0.7258 0.7258
Cu 0.2742 0.9758 0.9758
Cu 0.7258 0.0242 0.0242
Cu 0.9758 0.2742 0.2742
Bi 0.0000 0.5000 0.5000
Bi 0.5000 0.0000 0.5000
Bi 0.5000 0.5000 0.0000
Bi 0.5000 0.5000 0.5000

***

NpCuBi | PBE | optimized geometry

Values from the calculation:
Spin magnetization   4.52 μB/f.u.
E_tot   -6.776 eV per atom
Formation energy from the elements   0.59 eV per formula unit

abc: 4.5034 4.5034 4.1717
angles: 90.00 90.00 120.00
Fractional coordinates of all 3 atoms:
Np 0.0000 0.0000 0.0000
Cu 0.6667 0.3333 0.6186
Bi 0.3333 0.6667 0.4758

***

NpCuBiO5 | PBE | optimized geometry

Values from the calculation:
Spin magnetization   1.00 μB/f.u.
E_tot   -7.504 eV per atom
E_form (uncorrected)   -1.79 eV per atom

abc: 5.9732 5.9732 7.7775
angles: 104.05 104.05 106.60
Fractional coordinates of all 16 atoms:
Np 0.0000 0.5000 0.0000
Np 0.5000 0.0000 0.5000
Cu 0.0268 0.9732 0.7500
Cu 0.9732 0.0268 0.2500
Bi 0.4403 0.5597 0.7500
Bi 0.5597 0.4403 0.2500
O 0.1462 0.7379 0.8949
O 0.2425 0.3027 0.9174
O 0.2621 0.8538 0.6051
O 0.3027 0.2425 0.4174
O 0.3269 0.6731 0.2500
O 0.6731 0.3269 0.7500
O 0.6973 0.7575 0.5826
O 0.7379 0.1462 0.3949
O 0.7575 0.6973 0.0826
O 0.8538 0.2621 0.1051

***

NpCuBi2O6 | PBE | optimized geometry

Values from the calculation:
Spin magnetization   1.96 μB/f.u.
E_tot   -7.040 eV per atom
E_form (uncorrected)   -1.59 eV per atom

abc: 6.2416 6.2416 5.4388
angles: 112.24 112.24 54.00
Fractional coordinates of all 10 atoms:
Np 0.0000 0.0000 0.0000
Cu 0.5000 0.5000 0.5000
Bi 0.2551 0.2551 0.8030
Bi 0.7449 0.7449 0.1970
O 0.1554 0.6448 0.1841
O 0.1713 0.1713 0.3247
O 0.3552 0.8446 0.8159
O 0.6448 0.1554 0.1841
O 0.8287 0.8287 0.6753
O 0.8446 0.3552 0.8159

***

NpCuBi2O8 | PBE | optimized geometry

Values from the calculation:
Spin magnetization   0.00 μB/f.u.
E_tot   -6.890 eV per atom
E_form (uncorrected)   -1.52 eV per atom

abc: 4.7716 5.1639 7.2498
angles: 84.27 88.09 84.20
Fractional coordinates of all 12 atoms:
Np 0.0000 0.0000 0.0000
Cu 0.0000 0.0000 0.5000
Bi 0.4249 0.4636 0.2685
Bi 0.5751 0.5364 0.7315
O 0.1303 0.2753 0.8383
O 0.1496 0.1339 0.2715
O 0.2867 0.7170 0.5106
O 0.3508 0.7691 0.9685
O 0.6492 0.2309 0.0315
O 0.7133 0.2830 0.4894
O 0.8504 0.8661 0.7285
O 0.8697 0.7247 0.1617

***

NpCuBiO6 | PBE | optimized geometry

Values from the calculation:
Spin magnetization   0.81 μB/f.u.
E_tot   -7.305 eV per atom
E_form (uncorrected)   -1.68 eV per atom

abc: 5.3402 5.3402 10.2222
angles: 90.00 90.00 120.00
Fractional coordinates of all 18 atoms:
Np 0.3333 0.6667 0.2500
Np 0.6667 0.3333 0.7500
Cu 0.3333 0.6667 0.7500
Cu 0.6667 0.3333 0.2500
Bi 0.0000 0.0000 0.0000
Bi 0.0000 0.0000 0.5000
O 0.0080 0.3583 0.1386
O 0.0080 0.6497 0.3614
O 0.3503 0.3583 0.3614
O 0.3503 0.9920 0.1386
O 0.3583 0.0080 0.6386
O 0.3583 0.3503 0.8614
O 0.6417 0.6497 0.1386
O 0.6417 0.9920 0.3614
O 0.6497 0.0080 0.8614
O 0.6497 0.6417 0.6386
O 0.9920 0.3503 0.6386
O 0.9920 0.6417 0.8614

***

NpCuBiPd | PBE | optimized geometry

Values from the calculation:
Spin magnetization   4.07 μB/f.u.
E_tot   -6.560 eV per atom
Formation energy from the elements   -0.13 eV per formula unit

abc: 4.9008 4.9008 4.9008
angles: 60.00 60.00 60.00
Fractional coordinates of all 4 atoms:
Np 0.0000 0.0000 0.0000
Cu 0.2500 0.2500 0.2500
Bi 0.5000 0.5000 0.5000
Pd 0.7500 0.7500 0.7500

***

NpCuBi2Se5 | PBE | optimized geometry

Values from the calculation:
Spin magnetization   3.59 μB/f.u.
E_tot   -5.180 eV per atom
E_form (uncorrected)   -0.49 eV per atom

abc: 9.1676 9.1676 13.2936
angles: 90.00 90.00 154.08
Fractional coordinates of all 18 atoms:
Np 0.1903 0.8097 0.5000
Np 0.8097 0.1903 0.0000
Cu 0.4339 0.5661 0.9033
Cu 0.5661 0.4339 0.4033
Bi 0.1035 0.8965 0.7340
Bi 0.1066 0.8934 0.0991
Bi 0.8934 0.1066 0.5991
Bi 0.8965 0.1035 0.2340
Se 0.0335 0.9665 0.4927
Se 0.2854 0.7146 0.1483
Se 0.3028 0.6972 0.8582
Se 0.3528 0.6472 0.4644
Se 0.4910 0.5090 0.7360
Se 0.5090 0.4910 0.2360
Se 0.6472 0.3528 0.9644
Se 0.6972 0.3028 0.3582
Se 0.7146 0.2854 0.6483
Se 0.9665 0.0335 0.9927

***

CuBiO | PBE | optimized geometry

Values from the calculation:
Spin magnetization   0.00 μB/f.u.
E_tot   -4.650 eV per atom
E_form (uncorrected)   -0.34 eV per atom

abc: 6.0860 6.0860 3.4422
angles: 93.20 93.20 58.41
Fractional coordinates of all 6 atoms:
Cu 0.2499 0.2499 0.0002
Cu 0.7501 0.7501 0.9998
Bi 0.2509 0.7491 0.5000
Bi 0.7511 0.2489 0.0000
O 0.0315 0.5316 0.3120
O 0.4684 0.9685 0.6880

***

Cu2Bi5O12 | PBE | optimized geometry

Values from the calculation:
Spin magnetization   1.08 μB/f.u.
E_tot   -5.451 eV per atom
E_form (uncorrected)   -0.87 eV per atom

abc: 6.9600 6.9600 7.2481
angles: 105.09 105.09 51.61
Fractional coordinates of all 19 atoms:
Cu 0.2396 0.7604 0.0000
Cu 0.7604 0.2396 0.0000
Bi 0.0000 0.0000 0.5000
Bi 0.3113 0.3113 0.1601
Bi 0.3149 0.3149 0.6515
Bi 0.6851 0.6851 0.3485
Bi 0.6887 0.6887 0.8399
O 0.0085 0.0085 0.1963
O 0.0952 0.5826 0.9281
O 0.1046 0.6059 0.4195
O 0.3941 0.8954 0.5805
O 0.4174 0.9048 0.0719
O 0.4982 0.4982 0.1835
O 0.5018 0.5018 0.8165
O 0.5826 0.0952 0.9281
O 0.6059 0.1046 0.4195
O 0.8954 0.3941 0.5805
O 0.9048 0.4174 0.0719
O 0.9915 0.9915 0.8037

***

Cu6BiO8 | PBE | optimized geometry

Values from the calculation:
Spin magnetization   0.00 μB/f.u.
E_tot   -5.221 eV per atom
E_form (uncorrected)   -0.68 eV per atom

abc: 6.6354 6.6354 6.6354
angles: 60.00 60.00 60.00
Fractional coordinates of all 15 atoms:
Cu 0.0000 0.0000 0.5000
Cu 0.0000 0.5000 0.0000
Cu 0.0000 0.5000 0.5000
Cu 0.5000 0.0000 0.0000
Cu 0.5000 0.0000 0.5000
Cu 0.5000 0.5000 0.0000
Bi 0.0000 0.0000 0.0000
O 0.1447 0.1447 0.1447
O 0.1447 0.1447 0.5659
O 0.1447 0.5659 0.1447
O 0.4341 0.8553 0.8553
O 0.5659 0.1447 0.1447
O 0.8553 0.4341 0.8553
O 0.8553 0.8553 0.4341
O 0.8553 0.8553 0.8553

***

Cu2BiO4 | PBE | optimized geometry

Values from the calculation:
Spin magnetization   0.02 μB/f.u.
E_tot   -5.287 eV per atom
E_form (uncorrected)   -0.73 eV per atom

abc: 7.5815 6.8175 5.6746
angles: 74.10 59.86 46.04
Fractional coordinates of all 14 atoms:
Cu 0.0000 0.0000 0.0000
Cu 0.0000 0.0000 0.5000
Cu 0.0000 0.5000 0.0000
Cu 0.5000 0.0000 0.0000
Bi 0.3750 0.3750 0.3750
Bi 0.6250 0.6250 0.6250
O 0.1557 0.3244 0.2485
O 0.2286 0.7515 0.6756
O 0.2485 0.7714 0.1557
O 0.3244 0.1557 0.7714
O 0.6756 0.8443 0.2286
O 0.7515 0.2286 0.8443
O 0.7714 0.2485 0.3244
O 0.8443 0.6756 0.7515

***

CuBiO2 | PBE | optimized geometry

Values from the calculation:
Spin magnetization   0.00 μB/f.u.
E_tot   -5.354 eV per atom
E_form (uncorrected)   -0.88 eV per atom

abc: 6.7416 6.7416 6.7416
angles: 145.82 126.93 64.65
Fractional coordinates of all 8 atoms:
Cu 0.2238 0.0000 0.2238
Cu 0.7762 0.0000 0.7762
Bi 0.3037 0.3037 0.0000
Bi 0.6963 0.6963 0.0000
O 0.0939 0.8398 0.2541
O 0.4142 0.1602 0.2541
O 0.5858 0.8398 0.7459
O 0.9061 0.1602 0.7459

***

CuBiO2 | PBE | optimized geometry

Values from the calculation:
Spin magnetization   0.00 μB/f.u.
E_tot   -5.183 eV per atom
E_form (uncorrected)   -0.71 eV per atom

abc: 5.1575 5.6446 5.2273
angles: 90.00 112.15 90.00
Fractional coordinates of all 8 atoms:
Cu 0.0637 0.2500 0.4412
Cu 0.9363 0.7500 0.5588
Bi 0.3790 0.2500 0.1196
Bi 0.6210 0.7500 0.8804
O 0.2541 0.0001 0.7574
O 0.2541 0.4999 0.7574
O 0.7459 0.9999 0.2426
O 0.7459 0.5001 0.2426

***

Cu2Bi3O8 | PBE | optimized geometry

Values from the calculation:
Spin magnetization   1.61 μB/f.u.
E_tot   -5.133 eV per atom
E_form (uncorrected)   -0.56 eV per atom

abc: 6.8114 6.8114 6.8114
angles: 52.30 52.30 52.30
Fractional coordinates of all 13 atoms:
Cu 0.0831 0.0831 0.0831
Cu 0.9169 0.9169 0.9169
Bi 0.3078 0.3078 0.3078
Bi 0.5000 0.5000 0.5000
Bi 0.6922 0.6922 0.6922
O 0.1883 0.1883 0.1883
O 0.2451 0.2451 0.7042
O 0.2451 0.7042 0.2451
O 0.2958 0.7549 0.7549
O 0.7042 0.2451 0.2451
O 0.7549 0.2958 0.7549
O 0.7549 0.7549 0.2958
O 0.8117 0.8117 0.8117